No. 1
This record from the Alexandria database describes a crystal of BaH6F8 relaxed with PBEsol. The functional is meta-GGA SCAN.

Summary:
* mass density: 3.02 Mg/m³
* uncorrected energy: -8.08 eV/atom
* spin magnetization: 0.00 μB/atom

Unit cell a=7.763 b=7.763 c=12.428 alpha=90.00 beta=90.00 gamma=120.00
Positions (direct):
1 Ba 0.333 0.667 0.063
2 Ba 0.333 0.667 0.437
3 Ba 0.667 0.333 0.563
4 Ba 0.667 0.333 0.937
5 H 0.000 0.170 0.000
6 H 0.000 0.170 0.500
7 H 0.027 0.320 0.250
8 H 0.110 0.727 0.665
9 H 0.110 0.727 0.835
10 H 0.170 0.000 0.000
11 H 0.170 0.000 0.500
12 H 0.273 0.383 0.665
13 H 0.273 0.383 0.835
14 H 0.292 0.973 0.250
15 H 0.320 0.027 0.750
16 H 0.383 0.273 0.165
17 H 0.383 0.273 0.335
18 H 0.617 0.890 0.665
19 H 0.617 0.890 0.835
20 H 0.680 0.708 0.250
21 H 0.708 0.680 0.750
22 H 0.727 0.110 0.165
23 H 0.727 0.110 0.335
24 H 0.830 0.830 0.000
25 H 0.830 0.830 0.500
26 H 0.890 0.617 0.165
27 H 0.890 0.617 0.335
28 H 0.973 0.292 0.750
29 F 0.000 0.000 0.000
30 F 0.000 0.000 0.500
31 F 0.000 0.301 0.000
32 F 0.000 0.301 0.500
33 F 0.067 0.628 0.602
34 F 0.067 0.628 0.898
35 F 0.155 0.316 0.750
36 F 0.161 0.845 0.750
37 F 0.168 0.438 0.250
38 F 0.269 0.832 0.250
39 F 0.301 0.000 0.000
40 F 0.301 0.000 0.500
41 F 0.316 0.155 0.250
42 F 0.372 0.439 0.602
43 F 0.372 0.439 0.898
44 F 0.438 0.168 0.750
45 F 0.439 0.372 0.102
46 F 0.439 0.372 0.398
47 F 0.561 0.933 0.602
48 F 0.561 0.933 0.898
49 F 0.562 0.731 0.250
50 F 0.628 0.067 0.102
51 F 0.628 0.067 0.398
52 F 0.684 0.839 0.750
53 F 0.699 0.699 0.000
54 F 0.699 0.699 0.500
55 F 0.731 0.562 0.750
56 F 0.832 0.269 0.750
57 F 0.839 0.684 0.250
58 F 0.845 0.161 0.250
59 F 0.933 0.561 0.102
60 F 0.933 0.561 0.398

***

No. 2
This record from the Alexandria database describes a crystal of BaIn2HF relaxed with PBEsol. The functional is meta-GGA SCAN.

Summary:
* mass density: 4.81 Mg/m³
* uncorrected energy: -23.21 eV/atom
* spin magnetization: 0.17 μB/atom

Unit cell a=4.668 b=4.668 c=6.128 alpha=90.00 beta=90.00 gamma=90.00
Positions (direct):
1 Ba 0.000 0.000 0.000
2 In 0.000 0.500 0.500
3 In 0.500 0.000 0.500
4 H 0.500 0.500 0.000
5 F 0.500 0.500 0.500

***

> Which formula does entry 1 have?

BaH6F8

***

> Number 1 is which compound?

BaH6F8